Density functional theory data (PBE with a Hubbard U) for crystalline BiMoF3 at its relaxed geometry.

Computed properties:
Volume   20.7 Å³/atom
Space-group type   Pm-3m, No. 221
Electronic total energy   -4.465 eV per atom
Fermi-level density of states   1.17 states/eV per cell

POSCAR file:
```
BiMoF3
1.0
4.696 0.000 0.000
0.000 4.696 0.000
0.000 0.000 4.696
Bi Mo F
1 1 3
direct
0.000 0.000 0.000
0.500 0.500 0.500
0.000 0.000 0.500
0.000 0.500 0.000
0.500 0.000 0.000
```